<1>
A plane-wave DFT calculation with PBE was carried out for a geometry-optimized LiTlHg5 structure.

Computed properties:
- size of the total moment (μB/atom) = 0.0000
- volume (A^3/atom) = 26.70
- crystal system = tetragonal
- D(E_F) (states/eV/f.u.) = 1.73

Cell lengths 4.3798, 4.3798, 9.7438 Å; angles 90.00, 90.00, 90.00 degrees
With the nearest neighbours (Å) after each atom.
Element x y z (fractional)
Li 0.0000 0.0000 0.0000  12 Hg 3.10-3.23
Tl 0.5000 0.5000 0.5000  8 Hg 3.32
Hg 0.0000 0.5000 0.2440  6 Hg 3.10-3.23, 2 Li 3.23, 2 Tl 3.32
Hg 0.0000 0.5000 0.7560  6 Hg 3.10-3.23, 2 Li 3.23, 2 Tl 3.32
Hg 0.5000 0.0000 0.2440  6 Hg 3.10-3.23, 2 Li 3.23, 2 Tl 3.32
Hg 0.5000 0.0000 0.7560  6 Hg 3.10-3.23, 2 Li 3.23, 2 Tl 3.32
Hg 0.5000 0.5000 0.0000  4 Li 3.10, 8 Hg 3.23

<2>
A plane-wave DFT calculation with PBE was carried out for a geometry-optimized LiTlHg5 structure.

Computed properties:
- size of the total moment (μB/atom) = 0.0000
- volume (A^3/atom) = 26.49
- crystal system = tetragonal
- D(E_F) (states/eV/f.u.) = 1.52

Cell lengths 4.5424, 4.5424, 8.9883 Å; angles 90.00, 90.00, 90.00 degrees
With the nearest neighbours (Å) after each atom.
Element x y z (fractional)
Li 0.0000 0.0000 0.0000  8 Hg 2.86
Tl 0.0000 0.0000 0.5000  12 Hg 3.21-3.57
Hg 0.0000 0.5000 0.1929  2 Li 2.86
Hg 0.0000 0.5000 0.8071  2 Li 2.86
Hg 0.5000 0.0000 0.1929  2 Li 2.86
Hg 0.5000 0.0000 0.8071  2 Li 2.86
Hg 0.5000 0.5000 0.5000  4 Tl 3.21, 8 Hg 3.57

In order of decreasing stability: <2>, <1>.